Record 1
The following is a DFT calculation (SCAN) of a PBEsol-optimized structure of ScBeFe2.

Calculated values
As for the energy relative to the elements: 295 meV/atom. The calculation puts the calculated volume at 52.13 Å³ per cell. The space group is R3m (160). The magnetization comes out at 1.194 μB per atom. Its theoretical density is 5.28 Mg/m³.

Cell lengths 7.8738, 7.8738, 7.8738 Å; angles 20.44, 20.44, 20.44 degrees
Closest atoms and distances in Å follow each position.
Fractional positions:
1 Sc 0.0000 0.0000 0.0000  3 Fe 2.70, 3 Be 2.71, 6 Sc 2.79
2 Be 0.2394 0.2394 0.2394  3 Fe 2.27
3 Fe 0.5035 0.5035 0.5035  3 Be 2.27, 3 Fe 2.39
4 Fe 0.7606 0.7606 0.7606  3 Fe 2.39

Record 2
The following is a DFT calculation (SCAN) of a PBEsol-optimized structure of AlCd2Tc.

Calculated values
As for the energy relative to the elements: 262 meV/atom. The calculation puts the calculated volume at 66.53 Å³ per cell. The space group is F-43m (216). The magnetization comes out at 0.000 μB per atom. Its theoretical density is 8.73 Mg/m³.

Cell lengths 4.5483, 4.5483, 4.5483 Å; angles 60.00, 60.00, 60.00 degrees
Closest atoms and distances in Å follow each position.
Fractional positions:
1 Al 0.0000 0.0000 0.0000  4 Cd 2.79, 4 Tc 2.79
2 Cd 0.2500 0.2500 0.2500  4 Cd 2.79, 4 Al 2.79
3 Cd 0.5000 0.5000 0.5000  4 Cd 2.79, 4 Tc 2.79
4 Tc 0.7500 0.7500 0.7500  4 Cd 2.79, 4 Al 2.79

Record 3
The following is a DFT calculation (SCAN) of a PBEsol-optimized structure of MgAgTe2.

Calculated values
The calculation puts the uncorrected formation energy at -0.457 eV/atom. The calculation puts the calculated volume at 98.36 Å³ per cell. The space group is Amm2 (38). The magnetization comes out at 0.000 μB per atom. Its theoretical density is 6.54 Mg/m³.

Cell lengths 5.7735, 4.1276, 4.1276 Å; angles 90.00, 90.00, 90.00 degrees
Closest atoms and distances in Å follow each position.
Fractional positions:
1 Mg 0.0000 0.0000 0.0000  6 Te 2.89-2.92
2 Ag 0.5000 0.4969 0.4969  6 Te 2.89-2.92
3 Te 0.0000 0.4996 0.4996  2 Ag 2.89, 4 Mg 2.92
4 Te 0.5000 0.9968 0.9968  2 Mg 2.89, 4 Ag 2.92

Record 4
The following is a DFT calculation (SCAN) of a PBEsol-optimized structure of BTeOsN2.

Calculated values
The calculation puts the uncorrected formation energy at 1.887 eV/atom. The calculation puts the calculated volume at 60.82 Å³ per cell. The space group is P4/mmm (123). The magnetization comes out at 0.627 μB per atom. Its theoretical density is 9.74 Mg/m³.

Cell lengths 3.5739, 3.5739, 4.7619 Å; angles 90.00, 90.00, 90.00 degrees
Closest atoms and distances in Å follow each position.
Fractional positions:
1 B 0.0000 0.0000 0.0000  4 N 1.79
2 Te 0.5000 0.5000 0.5000  4 Os 2.53
3 Os 0.0000 0.0000 0.5000  2 B 2.38, 4 Te 2.53
4 N 0.0000 0.5000 0.0000  2 B 1.79
5 N 0.5000 0.0000 0.0000  2 B 1.79

Record 5
The following is a DFT calculation (SCAN) of a PBEsol-optimized structure of LiNbCoO4.

Calculated values
The calculation puts the uncorrected formation energy at -2.244 eV/atom. The calculation puts the calculated volume at 304.30 Å³ per cell. The space group is P4_322 (95). The magnetization comes out at 0.429 μB per atom. Its theoretical density is 4.86 Mg/m³.

Cell lengths 6.0452, 6.0452, 8.3269 Å; angles 90.00, 90.00, 90.00 degrees
Closest atoms and distances in Å follow each position.
Fractional positions:
1 Li 0.0000 0.2146 0.0000  4 O 2.00-2.12
2 Li 0.0000 0.7854 0.5000  4 O 2.00-2.12
3 Li 0.2146 0.0000 0.2500  4 O 2.00-2.12
4 Li 0.7854 0.0000 0.7500  4 O 2.00-2.12
5 Nb 0.2131 0.5000 0.2500  4 O 1.90-2.01
6 Nb 0.5000 0.2131 0.0000  4 O 1.90-2.01
7 Nb 0.5000 0.7869 0.5000  4 O 1.90-2.01
8 Nb 0.7869 0.5000 0.7500  4 O 1.90-2.01
9 Co 0.2577 0.2577 0.6250  4 O 1.91-1.94
10 Co 0.2577 0.7423 0.8750  4 O 1.91-1.94
11 Co 0.7423 0.2577 0.3750  4 O 1.91-1.94
12 Co 0.7423 0.7423 0.1250  4 O 1.91-1.94
13 O 0.0096 0.2602 0.2520  1 Nb 1.90, 1 Co 1.91, 2 Li 2.00-2.12
14 O 0.0096 0.7398 0.2480  1 Nb 1.90, 1 Co 1.91, 2 Li 2.00-2.12
15 O 0.2602 0.0096 0.9980  1 Nb 1.90, 1 Co 1.91, 2 Li 2.00-2.12
16 O 0.2602 0.9904 0.5020  1 Nb 1.90, 1 Co 1.91, 2 Li 2.00-2.12
17 O 0.2646 0.4835 0.0118  1 Co 1.94, 1 Nb 2.01
18 O 0.2646 0.5165 0.4882  1 Co 1.94, 1 Nb 2.01
19 O 0.4835 0.2646 0.2382  1 Co 1.94, 1 Nb 2.01
20 O 0.4835 0.7354 0.2618  1 Co 1.94, 1 Nb 2.01
21 O 0.5165 0.2646 0.7618  1 Co 1.94, 1 Nb 2.01
22 O 0.5165 0.7354 0.7382  1 Co 1.94, 1 Nb 2.01
23 O 0.7354 0.4835 0.9882  1 Co 1.94, 1 Nb 2.01
24 O 0.7354 0.5165 0.5118  1 Co 1.94, 1 Nb 2.01
25 O 0.7398 0.0096 0.0020  1 Nb 1.90, 1 Co 1.91, 2 Li 2.00-2.12
26 O 0.7398 0.9904 0.4980  1 Nb 1.90, 1 Co 1.91, 2 Li 2.00-2.12
27 O 0.9904 0.2602 0.7480  1 Nb 1.90, 1 Co 1.91, 2 Li 2.00-2.12
28 O 0.9904 0.7398 0.7520  1 Nb 1.90, 1 Co 1.91, 2 Li 2.00-2.12

Record 6
The following is a DFT calculation (SCAN) of a PBEsol-optimized structure of Cu2PAu.

Calculated values
As for the energy relative to the elements: 115 meV/atom. The calculation puts the calculated volume at 54.14 Å³ per cell. The space group is Pmm2 (25). The magnetization comes out at 0.000 μB per atom. Its theoretical density is 10.89 Mg/m³.

Cell lengths 2.9035, 4.0192, 4.6397 Å; angles 90.00, 90.00, 90.00 degrees
Closest atoms and distances in Å follow each position.
Fractional positions:
1 Cu 0.0000 0.0000 0.0000  2 P 2.42, 2 Cu 2.47, 4 Au 2.66
2 Cu 0.0000 0.5000 0.3077  2 Cu 2.47, 4 P 2.53, 2 Au 2.68
3 P 0.5000 0.0000 0.4166  6 Cu 2.42-2.53, 2 Au 2.66
4 Au 0.5000 0.5000 0.7936  8 Cu 2.66-2.79, 2 P 2.66, 2 Au 2.90